DFT (PBE) results for a relaxed structure of KZnAs2Se.

Lattice parameters (Å, degrees): 5.6551 5.6551 5.6200 90.00 90.00 90.00
Element x y z (fractional)
K (0.0000, 0.0000, 0.0000)
Zn (0.5000, 0.5000, 0.5000)
As (0.0000, 0.5000, 0.0000)
As (0.5000, 0.0000, 0.0000)
Se (0.0000, 0.0000, 0.5000)

M_tot: 0.235 μB per atom
Formation energy from raw total energies: 6.90 eV per formula unit
N(E_F): 5.816 states/eV/cell
Space group: P4/mmm (123)